Record 1
# CuMo4Rh, relaxed, DFT PBE
data_CuMo4Rh
_cell_length_a 5.1494
_cell_length_b 5.1494
_cell_length_c 5.1494
_cell_angle_alpha 60.00
_cell_angle_beta 60.00
_cell_angle_gamma 60.00
_space_group_name_H-M_alt 'P 1'
_space_group_IT_number 1
loop_
_space_group_symop_operation_xyz
'x,y,z'
loop_
_atom_site_label
_atom_site_type_symbol
_atom_site_fract_x
_atom_site_fract_y
_atom_site_fract_z
Cu1 Cu 0.0000 0.0000 0.0000
Mo1 Mo 0.1225 0.6258 0.6258
Mo2 Mo 0.6258 0.1225 0.6258
Mo3 Mo 0.6258 0.6258 0.1225
Mo4 Mo 0.6258 0.6258 0.6258
Rh1 Rh 0.2500 0.2500 0.2500
# ρ = 9.46 Mg/m³
# Symmetry = F-43m, No. 216
# E_form = 0.41 eV/atom
# Energy = -8.721 eV/atom


Record 2
# CuMoRh, relaxed, DFT PBE
data_CuMoRh
_cell_length_a 4.2771
_cell_length_b 4.2771
_cell_length_c 2.6633
_cell_angle_alpha 90.00
_cell_angle_beta 90.00
_cell_angle_gamma 120.00
_space_group_name_H-M_alt 'P 1'
_space_group_IT_number 1
loop_
_space_group_symop_operation_xyz
'x,y,z'
loop_
_atom_site_label
_atom_site_type_symbol
_atom_site_fract_x
_atom_site_fract_y
_atom_site_fract_z
Cu1 Cu 0.0000 0.0000 0.0000
Mo1 Mo 0.6667 0.3333 0.5000
Rh1 Rh 0.3333 0.6667 0.0000
# ρ = 10.33 Mg/m³
# ΔE to the lowest computed polymorph = 94 meV/atom
# Symmetry = P-6m2, No. 187
# E_form = 0.04 eV/atom
# Energy = -7.383 eV/atom


Record 3
# CuMoRuRh, relaxed, DFT PBE
data_CuMoRuRh
_cell_length_a 6.0937
_cell_length_b 6.0937
_cell_length_c 6.0937
_cell_angle_alpha 90.00
_cell_angle_beta 90.00
_cell_angle_gamma 90.00
_space_group_name_H-M_alt 'P 1'
_space_group_IT_number 1
loop_
_space_group_symop_operation_xyz
'x,y,z'
loop_
_atom_site_label
_atom_site_type_symbol
_atom_site_fract_x
_atom_site_fract_y
_atom_site_fract_z
Cu1 Cu 0.0000 0.0000 0.0000
Cu2 Cu 0.0000 0.5000 0.5000
Cu3 Cu 0.5000 0.0000 0.5000
Cu4 Cu 0.5000 0.5000 0.0000
Mo1 Mo 0.0000 0.0000 0.5000
Mo2 Mo 0.0000 0.5000 0.0000
Mo3 Mo 0.5000 0.0000 0.0000
Mo4 Mo 0.5000 0.5000 0.5000
Ru1 Ru 0.2500 0.2500 0.7500
Ru2 Ru 0.2500 0.7500 0.2500
Ru3 Ru 0.7500 0.2500 0.2500
Ru4 Ru 0.7500 0.7500 0.7500
Rh1 Rh 0.2500 0.2500 0.2500
Rh2 Rh 0.2500 0.7500 0.7500
Rh3 Rh 0.7500 0.2500 0.7500
Rh4 Rh 0.7500 0.7500 0.2500
# ρ = 10.67 Mg/m³
# Symmetry = F-43m, No. 216
# E_form = 0.04 eV/atom
# Energy = -7.844 eV/atom


Record 4
# CuTcMoRh, relaxed, DFT PBE
data_CuTcMoRh
_cell_length_a 6.1192
_cell_length_b 6.1192
_cell_length_c 6.1192
_cell_angle_alpha 90.00
_cell_angle_beta 90.00
_cell_angle_gamma 90.00
_space_group_name_H-M_alt 'P 1'
_space_group_IT_number 1
loop_
_space_group_symop_operation_xyz
'x,y,z'
loop_
_atom_site_label
_atom_site_type_symbol
_atom_site_fract_x
_atom_site_fract_y
_atom_site_fract_z
Cu1 Cu 0.0000 0.0000 0.0000
Cu2 Cu 0.0000 0.5000 0.5000
Cu3 Cu 0.5000 0.0000 0.5000
Cu4 Cu 0.5000 0.5000 0.0000
Tc1 Tc 0.2500 0.2500 0.2500
Tc2 Tc 0.2500 0.7500 0.7500
Tc3 Tc 0.7500 0.2500 0.7500
Tc4 Tc 0.7500 0.7500 0.2500
Mo1 Mo 0.0000 0.0000 0.5000
Mo2 Mo 0.0000 0.5000 0.0000
Mo3 Mo 0.5000 0.0000 0.0000
Mo4 Mo 0.5000 0.5000 0.5000
Rh1 Rh 0.2500 0.2500 0.7500
Rh2 Rh 0.2500 0.7500 0.2500
Rh3 Rh 0.7500 0.2500 0.2500
Rh4 Rh 0.7500 0.7500 0.7500
# ρ = 10.45 Mg/m³
# Symmetry = F-43m, No. 216
# E_form = 0.10 eV/atom
# Energy = -8.056 eV/atom


Record 5
# ZnCuMoRh, relaxed, DFT PBE
data_ZnCuMoRh
_cell_length_a 6.0940
_cell_length_b 6.0940
_cell_length_c 6.0940
_cell_angle_alpha 90.00
_cell_angle_beta 90.00
_cell_angle_gamma 90.00
_space_group_name_H-M_alt 'P 1'
_space_group_IT_number 1
loop_
_space_group_symop_operation_xyz
'x,y,z'
loop_
_atom_site_label
_atom_site_type_symbol
_atom_site_fract_x
_atom_site_fract_y
_atom_site_fract_z
Zn1 Zn 0.0000 0.0000 0.0000
Zn2 Zn 0.0000 0.5000 0.5000
Zn3 Zn 0.5000 0.0000 0.5000
Zn4 Zn 0.5000 0.5000 0.0000
Cu1 Cu 0.2500 0.2500 0.7500
Cu2 Cu 0.2500 0.7500 0.2500
Cu3 Cu 0.7500 0.2500 0.2500
Cu4 Cu 0.7500 0.7500 0.7500
Mo1 Mo 0.0000 0.0000 0.5000
Mo2 Mo 0.0000 0.5000 0.0000
Mo3 Mo 0.5000 0.0000 0.0000
Mo4 Mo 0.5000 0.5000 0.5000
Rh1 Rh 0.2500 0.2500 0.2500
Rh2 Rh 0.2500 0.7500 0.7500
Rh3 Rh 0.7500 0.2500 0.7500
Rh4 Rh 0.7500 0.7500 0.2500
# ρ = 9.62 Mg/m³
# Symmetry = F-43m, No. 216
# E_form = 0.01 eV/atom
# Energy = -5.880 eV/atom


Record 6
# CuMoRu2, relaxed, DFT PBE
data_CuMoRu2
_cell_length_a 2.7312
_cell_length_b 2.7312
_cell_length_c 26.3759
_cell_angle_alpha 90.00
_cell_angle_beta 90.00
_cell_angle_gamma 120.00
_space_group_name_H-M_alt 'P 1'
_space_group_IT_number 1
loop_
_space_group_symop_operation_xyz
'x,y,z'
loop_
_atom_site_label
_atom_site_type_symbol
_atom_site_fract_x
_atom_site_fract_y
_atom_site_fract_z
Cu1 Cu 0.0000 0.0000 0.0000
Cu2 Cu 0.3333 0.6667 0.6667
Cu3 Cu 0.6667 0.3333 0.3333
Mo1 Mo 0.0000 0.0000 0.5000
Mo2 Mo 0.3333 0.6667 0.1667
Mo3 Mo 0.6667 0.3333 0.8333
Ru1 Ru 0.0000 0.0000 0.2503
Ru2 Ru 0.0000 0.0000 0.7497
Ru3 Ru 0.3333 0.6667 0.4164
Ru4 Ru 0.3333 0.6667 0.9170
Ru5 Ru 0.6667 0.3333 0.0830
Ru6 Ru 0.6667 0.3333 0.5836
# ρ = 10.57 Mg/m³
# ΔE to the lowest computed polymorph = 4 meV/atom
# Symmetry = R-3m, No. 166
# E_form = 0.14 eV/atom
# Energy = -8.232 eV/atom